1.
Computed, not measured: CrCo4Re after structural relaxation at the PBE level of DFT.

DOS(E_F), states/eV/f.u.: 7.573
Energy above the most stable polymorph in this dataset, meV/atom: 0
Energy relative to the elements, eV/atom: 0.0281
Crystal system: monoclinic
V, Å³/f.u.: 68.3

```
data_CrCo4Re
_chemical_formula_sum 'Cr2 Co8 Re2'
_cell_length_a 4.3773
_cell_length_b 7.5625
_cell_length_c 4.3763
_cell_angle_alpha 90.00
_cell_angle_beta 109.46
_cell_angle_gamma 90.00
_symmetry_space_group_name_H-M 'C 1 2/m 1'
_symmetry_Int_Tables_number 12
loop_
_symmetry_equiv_pos_as_xyz
'x,y,z'
'-x,-y,-z'
'-x,y,-z'
'x,-y,z'
'x+1/2,y+1/2,z'
'-x+1/2,-y+1/2,-z'
'-x+1/2,y+1/2,-z'
'x+1/2,-y+1/2,z'
loop_
_atom_site_label
_atom_site_type_symbol
_atom_site_fract_x
_atom_site_fract_y
_atom_site_fract_z
Cr1 Cr 0.0000 0.0000 0.0000
Co1 Co 0.0000 0.1667 0.5000
Co2 Co 0.0000 0.3300 0.0000
Re1 Re 0.0000 0.5000 0.5000
```

2.
Computed, not measured: Cr6CoRe5 after structural relaxation at the PBE level of DFT.

DOS(E_F), states/eV/f.u.: 13.965
Energy relative to the elements, eV/atom: 0.1133
Crystal system: orthorhombic
V, Å³/f.u.: 159.1

```
data_Cr6CoRe5
_chemical_formula_sum 'Cr12 Co2 Re10'
_cell_length_a 4.2573
_cell_length_b 8.9784
_cell_length_c 8.3271
_cell_angle_alpha 90.00
_cell_angle_beta 90.00
_cell_angle_gamma 90.00
_symmetry_space_group_name_H-M 'C m m m'
_symmetry_Int_Tables_number 65
_symmetry_space_group_name_Hall '-C 2 2'
loop_
_atom_site_label
_atom_site_type_symbol
_atom_site_fract_x
_atom_site_fract_y
_atom_site_fract_z
Cr1 Cr 0.0000 0.0000 0.2395
Cr2 Cr 0.0000 0.3334 0.2513
Co1 Co 0.0000 0.5000 0.0000
Re1 Re 0.0000 0.1655 0.5000
Re2 Re 0.0000 0.1690 0.0000
Re3 Re 0.0000 0.5000 0.5000
```

3.
Computed, not measured: CrCo4Re after structural relaxation at the PBE level of DFT.

DOS(E_F), states/eV/f.u.: 8.977
Energy above the most stable polymorph in this dataset, meV/atom: 119
Energy relative to the elements, eV/atom: 0.1474
Crystal system: cubic
V, Å³/f.u.: 68.5

```
data_CrCo4Re
_chemical_formula_sum 'Cr4 Co16 Re4'
_cell_length_a 6.4953
_cell_length_b 6.4953
_cell_length_c 6.4953
_cell_angle_alpha 90.00
_cell_angle_beta 90.00
_cell_angle_gamma 90.00
_symmetry_space_group_name_H-M 'F -4 3 m'
_symmetry_Int_Tables_number 216
_symmetry_space_group_name_Hall 'F -4 2 3'
loop_
_atom_site_label
_atom_site_type_symbol
_atom_site_fract_x
_atom_site_fract_y
_atom_site_fract_z
Cr1 Cr 0.0000 0.0000 0.0000
Co1 Co 0.1253 0.1253 0.3747
Re1 Re 0.2500 0.2500 0.7500
```

Repeat the second record exactly.
Computed, not measured: Cr6CoRe5 after structural relaxation at the PBE level of DFT.

DOS(E_F), states/eV/f.u.: 13.965
Energy relative to the elements, eV/atom: 0.1133
Crystal system: orthorhombic
V, Å³/f.u.: 159.1

```
data_Cr6CoRe5
_chemical_formula_sum 'Cr12 Co2 Re10'
_cell_length_a 4.2573
_cell_length_b 8.9784
_cell_length_c 8.3271
_cell_angle_alpha 90.00
_cell_angle_beta 90.00
_cell_angle_gamma 90.00
_symmetry_space_group_name_H-M 'C m m m'
_symmetry_Int_Tables_number 65
_symmetry_space_group_name_Hall '-C 2 2'
loop_
_atom_site_label
_atom_site_type_symbol
_atom_site_fract_x
_atom_site_fract_y
_atom_site_fract_z
Cr1 Cr 0.0000 0.0000 0.2395
Cr2 Cr 0.0000 0.3334 0.2513
Co1 Co 0.0000 0.5000 0.0000
Re1 Re 0.0000 0.1655 0.5000
Re2 Re 0.0000 0.1690 0.0000
Re3 Re 0.0000 0.5000 0.5000
```

Please write out number 3 again, unchanged.
Computed, not measured: CrCo4Re after structural relaxation at the PBE level of DFT.

DOS(E_F), states/eV/f.u.: 8.977
Energy above the most stable polymorph in this dataset, meV/atom: 119
Energy relative to the elements, eV/atom: 0.1474
Crystal system: cubic
V, Å³/f.u.: 68.5

```
data_CrCo4Re
_chemical_formula_sum 'Cr4 Co16 Re4'
_cell_length_a 6.4953
_cell_length_b 6.4953
_cell_length_c 6.4953
_cell_angle_alpha 90.00
_cell_angle_beta 90.00
_cell_angle_gamma 90.00
_symmetry_space_group_name_H-M 'F -4 3 m'
_symmetry_Int_Tables_number 216
_symmetry_space_group_name_Hall 'F -4 2 3'
loop_
_atom_site_label
_atom_site_type_symbol
_atom_site_fract_x
_atom_site_fract_y
_atom_site_fract_z
Cr1 Cr 0.0000 0.0000 0.0000
Co1 Co 0.1253 0.1253 0.3747
Re1 Re 0.2500 0.2500 0.7500
```

Which of these has the lowest energy relative to the elements? number 1